Tm2PdAu: optimized geometry, GGA-PBEsol.

Cell lengths 6.897, 6.897, 6.897 Å; angles 90.00, 90.00, 90.00 degrees
Space group Fm-3m (No. 225)
One atom of each set of equivalent atoms:
Tm (0.250, 0.250, 0.250) (multiplicity 8)
Pd (0.000, 0.000, 0.000) (multiplicity 4)
Au (0.000, 0.000, 0.500) (multiplicity 4)

Calculated values
VASP energy in eV per atom: -5.825